First-principles (GGA-PBE) data for an optimized crystal structure of AlInCo3, as listed in Alexandria via LeMat-Bulk.

The total energy comes out at -20.4 eV for the cell shown.

a b c (Å): 4.624 4.624 4.624
angles (deg): 90.00 90.00 90.00
Space group Pm-3m (No. 221)
Inequivalent atoms, fractional coordinates:
Al (0.000, 0.000, 0.000) [1 per cell]
In (0.500, 0.500, 0.500) [1 per cell]
Co (0.000, 0.500, 0.500) [3 per cell]